The following is a PBE calculation of crystalline Ir4OsPt at its relaxed geometry, from Alexandria via LeMat-Bulk.

a = 2.746 Å, b = 3.877 Å, c = 8.267 Å
α = 90.00°, β = 90.00°, γ = 90.00°
Atoms (fractional coordinates):
Ir  0.000  0.000  0.162
Ir  0.000  0.000  0.838
Ir  0.500  0.500  0.327
Ir  0.500  0.500  0.673
Os  0.500  0.500  0.000
Pt  0.000  0.000  0.500

Properties
**Energy above the lowest structure with this stoichiometry**: 0 meV per atom
**Calculated volume**: 14.7 Å³ per atom
**ΔE_f**: 0.25 eV/f.u.

=====

The following is a PBE calculation of crystalline IrOsPt2 at its relaxed geometry, from Alexandria via LeMat-Bulk.

a = 6.261 Å, b = 6.261 Å, c = 6.261 Å
α = 90.00°, β = 90.00°, γ = 90.00°
Atoms (fractional coordinates):
Ir  0.000  0.000  0.000
Ir  0.000  0.500  0.500
Ir  0.500  0.000  0.500
Ir  0.500  0.500  0.000
Os  0.000  0.000  0.500
Os  0.000  0.500  0.000
Os  0.500  0.000  0.000
Os  0.500  0.500  0.500
Pt  0.250  0.250  0.250
Pt  0.250  0.250  0.750
Pt  0.250  0.750  0.250
Pt  0.250  0.750  0.750
Pt  0.750  0.250  0.250
Pt  0.750  0.250  0.750
Pt  0.750  0.750  0.250
Pt  0.750  0.750  0.750

Properties
**Energy above the lowest structure with this stoichiometry**: 499 meV per atom
**Calculated volume**: 15.3 Å³ per atom
**ΔE_f**: 1.93 eV/f.u.

=====

The following is a PBE calculation of crystalline Ir2Os2Pt at its relaxed geometry, from Alexandria via LeMat-Bulk.

a = 3.578 Å, b = 3.578 Å, c = 12.704 Å
α = 90.00°, β = 90.00°, γ = 90.00°
Atoms (fractional coordinates):
Ir  0.000  0.000  0.099
Ir  0.000  0.000  0.901
Ir  0.500  0.500  0.401
Ir  0.500  0.500  0.599
Os  0.000  0.500  0.250
Os  0.000  0.500  0.750
Os  0.500  0.000  0.250
Os  0.500  0.000  0.750
Pt  0.000  0.000  0.500
Pt  0.500  0.500  0.000

Properties
**Energy above the lowest structure with this stoichiometry**: 541 meV per atom
**Calculated volume**: 16.3 Å³ per atom
**ΔE_f**: 2.65 eV/f.u.

=====

The following is a PBE calculation of crystalline Ir2Os2Pt at its relaxed geometry, from Alexandria via LeMat-Bulk.

a = 2.760 Å, b = 2.760 Å, c = 11.123 Å
α = 90.00°, β = 90.00°, γ = 120.00°
Atoms (fractional coordinates):
Ir  0.333  0.667  0.290
Ir  0.667  0.333  0.710
Os  0.333  0.667  0.905
Os  0.667  0.333  0.095
Pt  0.000  0.000  0.500

Properties
**Energy above the lowest structure with this stoichiometry**: 0 meV per atom
**Calculated volume**: 14.7 Å³ per atom
**ΔE_f**: -0.06 eV/f.u.

=====

The following is a PBE calculation of crystalline Ir2OsPt at its relaxed geometry, from Alexandria via LeMat-Bulk.

a = 6.257 Å, b = 6.257 Å, c = 6.257 Å
α = 90.00°, β = 90.00°, γ = 90.00°
Atoms (fractional coordinates):
Ir  0.250  0.250  0.250
Ir  0.250  0.250  0.750
Ir  0.250  0.750  0.250
Ir  0.250  0.750  0.750
Ir  0.750  0.250  0.250
Ir  0.750  0.250  0.750
Ir  0.750  0.750  0.250
Ir  0.750  0.750  0.750
Os  0.000  0.000  0.000
Os  0.000  0.500  0.500
Os  0.500  0.000  0.500
Os  0.500  0.500  0.000
Pt  0.000  0.000  0.500
Pt  0.000  0.500  0.000
Pt  0.500  0.000  0.000
Pt  0.500  0.500  0.500

Properties
**Energy above the lowest structure with this stoichiometry**: 590 meV per atom
**Calculated volume**: 15.3 Å³ per atom
**ΔE_f**: 2.32 eV/f.u.

=====

The following is a PBE calculation of crystalline Ir5Os3Pt12 at its relaxed geometry, from Alexandria via LeMat-Bulk.

a = 12.772 Å, b = 12.772 Å, c = 12.772 Å
α = 109.47°, β = 109.47°, γ = 109.47°
Atoms (fractional coordinates):
Ir  0.000  0.000  0.000
Ir  0.000  0.000  0.500
Ir  0.000  0.500  0.000
Ir  0.000  0.500  0.500
Ir  0.125  0.750  0.875
Ir  0.125  0.875  0.250
Ir  0.250  0.125  0.875
Ir  0.250  0.625  0.375
Ir  0.375  0.250  0.625
Ir  0.375  0.625  0.750
Ir  0.500  0.000  0.000
Ir  0.500  0.000  0.500
Ir  0.500  0.500  0.000
Ir  0.500  0.500  0.500
Ir  0.625  0.375  0.250
Ir  0.625  0.750  0.375
Ir  0.750  0.375  0.625
Ir  0.750  0.875  0.125
Ir  0.875  0.125  0.750
Ir  0.875  0.250  0.125
Os  0.125  0.250  0.375
Os  0.125  0.375  0.750
Os  0.250  0.375  0.125
Os  0.250  0.875  0.625
Os  0.375  0.125  0.250
Os  0.375  0.750  0.125
Os  0.625  0.250  0.875
Os  0.625  0.875  0.750
Os  0.750  0.125  0.375
Os  0.750  0.625  0.875
Os  0.875  0.625  0.250
Os  0.875  0.750  0.625
Pt  0.063  0.228  0.147
Pt  0.063  0.335  0.916
Pt  0.081  0.728  0.665
Pt  0.081  0.853  0.416
Pt  0.084  0.647  0.419
Pt  0.084  0.937  0.665
Pt  0.147  0.063  0.228
Pt  0.147  0.584  0.919
Pt  0.165  0.228  0.581
Pt  0.165  0.437  0.584
Pt  0.228  0.147  0.063
Pt  0.228  0.581  0.165
Pt  0.272  0.335  0.919
Pt  0.272  0.437  0.353
Pt  0.335  0.916  0.063
Pt  0.335  0.919  0.272
Pt  0.353  0.272  0.437
Pt  0.353  0.581  0.916
Pt  0.416  0.081  0.853
Pt  0.416  0.835  0.563
Pt  0.419  0.084  0.647
Pt  0.419  0.835  0.772
Pt  0.437  0.353  0.272
Pt  0.437  0.584  0.165
Pt  0.563  0.416  0.835
Pt  0.563  0.647  0.728
Pt  0.581  0.165  0.228
Pt  0.581  0.916  0.353
Pt  0.584  0.165  0.437
Pt  0.584  0.919  0.147
Pt  0.647  0.419  0.084
Pt  0.647  0.728  0.563
Pt  0.665  0.081  0.728
Pt  0.665  0.084  0.937
Pt  0.728  0.563  0.647
Pt  0.728  0.665  0.081
Pt  0.772  0.419  0.835
Pt  0.772  0.853  0.937
Pt  0.835  0.563  0.416
Pt  0.835  0.772  0.419
Pt  0.853  0.416  0.081
Pt  0.853  0.937  0.772
Pt  0.916  0.063  0.335
Pt  0.916  0.353  0.581
Pt  0.919  0.147  0.584
Pt  0.919  0.272  0.335
Pt  0.937  0.665  0.084
Pt  0.937  0.772  0.853

Properties
**Calculated volume**: 20.0 Å³ per atom
**ΔE_f**: 17.07 eV/f.u.

=====

The following is a PBE calculation of crystalline IrOsPt2 at its relaxed geometry, from Alexandria via LeMat-Bulk.

a = 2.759 Å, b = 2.759 Å, c = 27.408 Å
α = 90.00°, β = 90.00°, γ = 120.00°
Atoms (fractional coordinates):
Ir  0.000  0.000  0.000
Ir  0.333  0.667  0.667
Ir  0.667  0.333  0.333
Os  0.000  0.000  0.743
Os  0.333  0.667  0.409
Os  0.667  0.333  0.076
Pt  0.000  0.000  0.248
Pt  0.000  0.000  0.493
Pt  0.333  0.667  0.160
Pt  0.333  0.667  0.914
Pt  0.667  0.333  0.581
Pt  0.667  0.333  0.827

Properties
**Energy above the lowest structure with this stoichiometry**: 0 meV per atom
**Calculated volume**: 15.1 Å³ per atom
**ΔE_f**: -0.06 eV/f.u.

=====

The following is a PBE calculation of crystalline Ir2OsPt at its relaxed geometry, from Alexandria via LeMat-Bulk.

a = 3.899 Å, b = 3.899 Å, c = 3.871 Å
α = 90.00°, β = 90.00°, γ = 90.00°
Atoms (fractional coordinates):
Ir  0.000  0.500  0.000
Ir  0.500  0.000  0.000
Os  0.000  0.000  0.500
Pt  0.500  0.500  0.500

Properties
**Energy above the lowest structure with this stoichiometry**: 154 meV per atom
**Calculated volume**: 14.7 Å³ per atom
**ΔE_f**: 0.57 eV/f.u.

=====

The following is a PBE calculation of crystalline IrOsPt2 at its relaxed geometry, from Alexandria via LeMat-Bulk.

a = 5.520 Å, b = 7.857 Å, c = 2.767 Å
α = 90.00°, β = 90.00°, γ = 90.00°
Atoms (fractional coordinates):
Ir  0.000  0.000  0.000
Ir  0.500  0.500  0.000
Os  0.000  0.500  0.000
Os  0.500  0.000  0.000
Pt  0.250  0.250  0.500
Pt  0.250  0.750  0.500
Pt  0.750  0.250  0.500
Pt  0.750  0.750  0.500

Properties
**Energy above the lowest structure with this stoichiometry**: 195 meV per atom
**Calculated volume**: 15.0 Å³ per atom
**ΔE_f**: 0.72 eV/f.u.

=====

The following is a PBE calculation of crystalline IrOs2PtRh4 at its relaxed geometry, from Alexandria via LeMat-Bulk.

a = 4.720 Å, b = 5.451 Å, c = 9.137 Å
α = 90.00°, β = 90.00°, γ = 90.00°
Atoms (fractional coordinates):
Ir  0.000  0.000  0.000
Ir  0.500  0.500  0.500
Os  0.000  0.254  0.500
Os  0.000  0.746  0.500
Os  0.500  0.246  0.000
Os  0.500  0.754  0.000
Pt  0.000  0.500  0.000
Pt  0.500  0.000  0.500
Rh  0.246  0.120  0.752
Rh  0.246  0.880  0.248
Rh  0.254  0.380  0.252
Rh  0.254  0.620  0.748
Rh  0.746  0.380  0.748
Rh  0.746  0.620  0.252
Rh  0.754  0.120  0.248
Rh  0.754  0.880  0.752

Properties
**Calculated volume**: 14.7 Å³ per atom
**ΔE_f**: 1.74 eV/f.u.

=====

The following is a PBE calculation of crystalline IrOsPtRh at its relaxed geometry, from Alexandria via LeMat-Bulk.

a = 2.739 Å, b = 2.739 Å, c = 9.048 Å
α = 90.00°, β = 90.00°, γ = 120.00°
Atoms (fractional coordinates):
Ir  0.000  0.000  0.000
Os  0.333  0.667  0.240
Pt  0.333  0.667  0.740
Rh  0.667  0.333  0.481

Properties
**Calculated volume**: 14.7 Å³ per atom
**ΔE_f**: 0.04 eV/f.u.

=====

The following is a PBE calculation of crystalline Sb2IrOsPt at its relaxed geometry, from Alexandria via LeMat-Bulk.

a = 5.031 Å, b = 5.031 Å, c = 4.757 Å
α = 90.00°, β = 90.00°, γ = 90.00°
Atoms (fractional coordinates):
Sb  0.000  0.500  0.000
Sb  0.500  0.000  0.000
Ir  0.000  0.000  0.000
Os  0.000  0.000  0.500
Pt  0.500  0.500  0.500

Properties
**Raw formation energy**: 6.88 eV per formula unit
**Calculated volume**: 24.1 Å³ per atom

=====

no.,uncorrected energy (eV per atom)
1,-8.74
2,-7.56
3,-8.72
4,-9.26
5,-8.17
6,-6.67
7,-8.06
8,-8.61
9,-7.86
10,-8.13
11,-8.36
12,-5.50